Entry 1:
DFT (PBE) results for a relaxed Ca2RhPbO5 crystal.

Lattice parameters (Å, degrees): 8.7970 8.7970 9.0290 90.00 90.00 158.39
Atoms (fractional coordinates):
Ca: 0.1401 0.8599 0.5000
Ca: 0.1674 0.8326 0.1143
Ca: 0.8326 0.1674 0.6143
Ca: 0.8599 0.1401 0.0000
Rh: 0.2155 0.7845 0.8136
Rh: 0.7845 0.2155 0.3136
Pb: 0.4802 0.5198 0.3061
Pb: 0.5198 0.4802 0.8061
O: 0.1017 0.8983 0.8728
O: 0.2751 0.7249 0.4539
O: 0.2983 0.7017 0.1760
O: 0.3364 0.6636 0.7941
O: 0.4600 0.5400 0.0344
O: 0.5400 0.4600 0.5344
O: 0.6636 0.3364 0.2941
O: 0.7017 0.2983 0.6760
O: 0.7249 0.2751 0.9539
O: 0.8983 0.1017 0.3728

Computed properties:
Raw formation energy (eV/atom): -1.73
Symmetry: No. 36
Total magnetization (μB/cell): 0.8

=====

Entry 2:
DFT (PBE) results for a relaxed Ca2Rh3PbO8 crystal.

Lattice parameters (Å, degrees): 6.5561 6.5561 6.5561 59.03 59.03 59.03
Atoms (fractional coordinates):
Ca: 0.0000 0.0000 0.0000
Ca: 0.3763 0.3763 0.3763
Rh: 0.4951 0.9972 0.9972
Rh: 0.9972 0.4951 0.9972
Rh: 0.9972 0.9972 0.4951
Pb: 0.6153 0.6153 0.6153
O: 0.1876 0.7511 0.7511
O: 0.2274 0.2274 0.2274
O: 0.2487 0.2487 0.7957
O: 0.2487 0.7957 0.2487
O: 0.7511 0.1876 0.7511
O: 0.7511 0.7511 0.1876
O: 0.7706 0.7706 0.7706
O: 0.7957 0.2487 0.2487

Computed properties:
Raw formation energy (eV/atom): -1.42
Symmetry: No. 160
Total magnetization (μB/cell): 0.0

=====

Entry 3:
DFT (PBE) results for a relaxed CaRuPb2O6 crystal.

Lattice parameters (Å, degrees): 5.7536 5.9434 10.0399 90.00 124.75 90.00
Atoms (fractional coordinates):
Ca: 0.0000 0.0000 0.0000
Ca: 0.0000 0.5000 0.5000
Ru: 0.5000 0.0000 0.5000
Ru: 0.5000 0.5000 0.0000
Pb: 0.2341 0.0440 0.7455
Pb: 0.2341 0.4560 0.2455
Pb: 0.7659 0.5440 0.7545
Pb: 0.7659 0.9560 0.2545
O: 0.1763 0.1811 0.4524
O: 0.1763 0.3189 0.9524
O: 0.2658 0.7283 0.4408
O: 0.2658 0.7717 0.9408
O: 0.3772 0.0418 0.2744
O: 0.3772 0.4582 0.7744
O: 0.6228 0.5418 0.2256
O: 0.6228 0.9582 0.7256
O: 0.7342 0.2283 0.0592
O: 0.7342 0.2717 0.5592
O: 0.8237 0.6811 0.0476
O: 0.8237 0.8189 0.5476

Computed properties:
Raw formation energy (eV/atom): -1.43
Symmetry: No. 14
Total magnetization (μB/cell): 3.5

=====

Entry 4:
DFT (PBE) results for a relaxed CaRuPbO6 crystal.

Lattice parameters (Å, degrees): 5.5465 5.5465 9.6253 90.00 90.00 120.00
Atoms (fractional coordinates):
Ca: 0.0000 0.0000 0.0000
Ca: 0.0000 0.0000 0.5000
Ru: 0.3333 0.6667 0.2500
Ru: 0.6667 0.3333 0.7500
Pb: 0.3333 0.6667 0.7500
Pb: 0.6667 0.3333 0.2500
O: 0.0458 0.3811 0.1376
O: 0.0458 0.6647 0.3624
O: 0.3353 0.3811 0.3624
O: 0.3353 0.9542 0.1376
O: 0.3811 0.0458 0.6376
O: 0.3811 0.3353 0.8624
O: 0.6189 0.6647 0.1376
O: 0.6189 0.9542 0.3624
O: 0.6647 0.0458 0.8624
O: 0.6647 0.6189 0.6376
O: 0.9542 0.3353 0.6376
O: 0.9542 0.6189 0.8624

Computed properties:
Raw formation energy (eV/atom): -1.29
Symmetry: No. 163
Total magnetization (μB/cell): 0.0

=====

Q: The lowest raw formation energy belongs to which entry?
A: Ca2RhPbO5